Entry from Alexandria: a crystal of CaCoAs2O7 relaxed with PBEsol (SCAN).

VASP energy (eV/atom): -11.88
Formation energy from raw total energies (eV per formula unit): -19.7

abc: 7.358 8.955 9.273
angles: 90.00 110.79 90.00
Each line ends with the local moment (μB).
Atoms (fractional coordinates):
1 O 0.020 0.419 0.198  0.04
2 O 0.335 0.921 0.212  0.05
3 As 0.990 0.302 0.048  0.01
4 O 0.576 0.360 0.612  0.00
5 As 0.418 0.740 0.231  0.01
6 O 0.752 0.357 0.931  0.01
7 O 0.248 0.857 0.569  0.01
8 O 0.002 0.617 0.403  0.06
9 As 0.990 0.198 0.548  0.01
10 As 0.010 0.802 0.452  0.01
11 Co 0.193 0.447 0.802  2.65
12 O 0.849 0.813 0.545  0.04
13 As 0.582 0.240 0.269  0.01
14 O 0.151 0.313 0.955  0.04
15 As 0.418 0.760 0.731  0.01
16 As 0.010 0.698 0.952  0.01
17 Ca 0.258 0.064 0.945  0.00
18 O 0.248 0.643 0.069  0.01
19 O 0.849 0.687 0.045  0.04
20 O 0.998 0.117 0.097  0.06
21 Ca 0.742 0.564 0.555  0.00
22 O 0.002 0.883 0.903  0.06
23 O 0.020 0.081 0.698  0.04
24 Co 0.193 0.053 0.302  2.65
25 O 0.998 0.383 0.597  0.06
26 O 0.980 0.581 0.802  0.04
27 O 0.980 0.919 0.302  0.04
28 As 0.582 0.260 0.769  0.01
29 O 0.634 0.764 0.704  0.03
30 O 0.634 0.736 0.204  0.03
31 O 0.665 0.079 0.788  0.05
32 O 0.151 0.187 0.455  0.04
33 O 0.335 0.579 0.712  0.05
34 O 0.424 0.640 0.388  0.00
35 Ca 0.742 0.936 0.055  0.00
36 O 0.424 0.860 0.888  0.00
37 Co 0.807 0.947 0.698  2.65
38 Co 0.807 0.553 0.198  2.65
39 O 0.665 0.421 0.288  0.05
40 Ca 0.258 0.436 0.445  0.00
41 O 0.752 0.143 0.431  0.01
42 O 0.576 0.140 0.112  0.00
43 O 0.366 0.236 0.296  0.03
44 O 0.366 0.264 0.796  0.03

=====

Entry from Alexandria: a crystal of Sc2RhSe relaxed with PBEsol (SCAN).

VASP energy (eV/atom): -21.48
Formation energy from raw total energies (eV per formula unit): -3.6

abc: 4.624 4.624 4.624
angles: 60.00 60.00 60.00
Each line ends with the local moment (μB).
Atoms (fractional coordinates):
1 Rh 0.000 0.000 0.000  0.06
2 Sc 0.250 0.250 0.250  -0.22
3 Sc 0.750 0.750 0.750  -0.22
4 Se 0.500 0.500 0.500  0.01

=====

Entry from Alexandria: a crystal of Re2MoSe relaxed with PBEsol (SCAN).

VASP energy (eV/atom): -48.68
Formation energy from raw total energies (eV per formula unit): 2.5

abc: 2.748 2.748 8.954
angles: 90.00 90.00 113.98
Atoms (fractional coordinates):
1 Re 0.000 0.000 0.000
2 Re 0.500 0.500 0.761
3 Se 0.000 0.000 0.494
4 Mo 0.500 0.500 0.246

=====

Entry from Alexandria: a crystal of Ta2MoAsS relaxed with PBEsol (SCAN).

VASP energy (eV/atom): -38.62
Formation energy from raw total energies (eV per formula unit): 4.8

abc: 4.470 4.470 4.658
angles: 90.00 90.00 90.00
Each line ends with the local moment (μB).
Atoms (fractional coordinates):
1 Ta 0.500 0.000 0.000  -0.21
2 Mo 0.500 0.500 0.500  2.10
3 Ta 0.000 0.500 0.000  -0.21
4 S 0.000 0.000 0.000  0.02
5 As 0.000 0.000 0.500  -0.03

=====

Entry from Alexandria: a crystal of Li2Cu relaxed with PBEsol (SCAN).

VASP energy (eV/atom): -6.63
DFT formation energy (kJ per mole of atoms): 3

abc: 2.643 5.141 6.541
angles: 105.91 90.00 104.90
Atoms (fractional coordinates):
1 Li 0.344 0.688 0.676
2 Li 0.384 0.767 0.269
3 Cu 0.660 0.320 0.320
4 Li 0.709 0.418 0.956
5 Li 0.070 0.140 0.594
6 Cu 0.000 0.001 0.018

=====

Entry from Alexandria: a crystal of AlInSi relaxed with PBEsol (SCAN).

Energy relative to the lowest polymorph listed for this composition (meV per atom): 0
VASP energy (eV/atom): -16.73
Formation energy from raw total energies (eV per formula unit): 1.0

abc: 4.249 4.249 4.018
angles: 90.00 90.00 120.00
Atoms (fractional coordinates):
1 Al 0.000 0.000 0.500
2 In 0.333 0.667 0.000
3 Si 0.667 0.333 0.500